Entry 1:
VASP calculation (PBE) on an optimized crystal structure of ThScGa.

The structure in POSCAR format:
```
ThScGa
1.0
0.0000 3.4470 3.4470
3.4470 0.0000 3.4470
3.4470 3.4470 0.0000
Ga Sc Th
1 1 1
Cartesian
0.0000 0.0000 0.0000
1.7235 1.7235 1.7235
5.1704 5.1704 5.1704
```

Calculated values
Relative energy among the computed polymorphs   0 meV per atom

***

Entry 2:
VASP calculation (PBE) on an optimized crystal structure of Th2ScGa2.

The structure in POSCAR format:
```
Th2ScGa2
1.0
7.5754 0.0000 0.0000
0.0000 7.5754 0.0000
0.0000 0.0000 4.4212
Ga Sc Th
4 2 4
Cartesian
4.7336 0.9459 0.0000
0.9459 2.8418 0.0000
6.6295 4.7336 0.0000
2.8418 6.6295 0.0000
0.0000 0.0000 0.0000
3.7877 3.7877 0.0000
2.4693 1.3184 2.2106
6.2570 2.4693 2.2106
1.3184 5.1061 2.2106
5.1061 6.2570 2.2106
```

***

Entry 3:
VASP calculation (PBE) on an optimized crystal structure of TmScGa2.

The structure in POSCAR format:
```
TmScGa2
1.0
3.9488 0.0000 0.0000
0.0000 2.0814 5.2373
0.0000 -2.0814 5.2373
Ga Sc Tm
2 1 1
Cartesian
0.0000 0.0000 0.8184
1.9744 0.0000 9.6291
0.0000 0.0000 3.7929
1.9744 0.0000 6.7090
```

***

Entry 4:
VASP calculation (PBE) on an optimized crystal structure of TmScGa4.

The structure in POSCAR format:
```
TmScGa4
1.0
4.2236 0.0000 0.0000
0.0000 2.0965 6.4651
0.0000 -2.0965 6.4651
Ga Sc Tm
4 1 1
Cartesian
0.0000 0.0000 0.0794
2.1118 0.0000 2.2288
2.1118 0.0000 6.5196
2.1118 0.0000 10.5734
0.0000 0.0000 8.4368
0.0000 0.0000 4.4874
```

Calculated values
Relative energy among the computed polymorphs   44 meV per atom

***

Entry 5:
VASP calculation (PBE) on an optimized crystal structure of TmScGa4.

The structure in POSCAR format:
```
TmScGa4
1.0
-2.0892 3.3647 4.0033
2.0892 -3.3647 4.0033
2.0892 3.3647 -4.0033
Ga Sc Tm
4 1 1
Cartesian
2.0892 -1.9759 2.7272
0.0000 2.0157 1.2900
0.0000 4.7137 1.2900
2.0892 1.9759 2.7272
0.0000 0.0000 3.5347
2.0892 0.0000 0.4410
```

Calculated values
Relative energy among the computed polymorphs   0 meV per atom

***

Entry 6:
VASP calculation (PBE) on an optimized crystal structure of Sc2GaW.

The structure in POSCAR format:
```
Sc2GaW
1.0
0.0000 3.3127 3.3127
3.3127 0.0000 3.3127
3.3127 3.3127 0.0000
Ga Sc W
1 2 1
Cartesian
3.3127 3.3127 3.3127
0.0000 0.0000 0.0000
4.9690 4.9690 4.9690
1.6563 1.6563 1.6563
```

***

Entry 7:
VASP calculation (PBE) on an optimized crystal structure of ScGaW2.

The structure in POSCAR format:
```
ScGaW2
1.0
0.0000 3.2150 3.2150
3.2150 0.0000 3.2150
3.2150 3.2150 0.0000
Ga Sc W
1 1 2
Cartesian
3.2149 3.2149 3.2149
1.6075 1.6075 1.6075
0.0000 0.0000 0.0000
4.8224 4.8224 4.8224
```

***

Entry 8:
VASP calculation (PBE) on an optimized crystal structure of ScGaW.

The structure in POSCAR format:
```
ScGaW
1.0
0.0000 3.1937 3.1937
3.1937 0.0000 3.1937
3.1937 3.1937 0.0000
Ga Sc W
1 1 1
Cartesian
1.5969 1.5969 1.5969
0.0000 0.0000 0.0000
4.7906 4.7906 4.7906
```

***

Entry 9:
VASP calculation (PBE) on an optimized crystal structure of Sc2ZnGa.

The structure in POSCAR format:
```
Sc2ZnGa
1.0
4.7259 0.0000 0.0000
0.0000 6.6847 0.0000
0.0000 0.0000 14.1781
Ga Sc Zn
6 12 6
Cartesian
0.0000 3.3423 0.0000
2.3631 0.0000 2.3629
0.0000 3.3423 4.7261
2.3630 0.0000 7.0890
0.0000 3.3423 9.4520
2.3629 0.0000 11.8151
2.3630 1.6712 0.0000
2.3630 5.0135 0.0000
4.7240 1.6712 2.3629
4.7240 5.0135 2.3629
2.3611 1.6711 4.7261
2.3611 5.0136 4.7261
0.0000 1.6711 7.0890
0.0000 5.0136 7.0890
2.3648 1.6711 9.4520
2.3648 5.0136 9.4520
0.0019 1.6712 11.8151
0.0019 5.0135 11.8151
0.0000 0.0000 0.0000
2.3571 3.3423 2.3633
4.7200 0.0000 4.7257
2.3630 3.3423 7.0890
0.0059 0.0000 9.4524
2.3689 3.3423 11.8148
```

Calculated values
Relative energy among the computed polymorphs   0 meV per atom

***

Entry 10:
VASP calculation (PBE) on an optimized crystal structure of Sc2ZnGa.

The structure in POSCAR format:
```
Sc2ZnGa
1.0
0.0000 3.3685 3.3685
3.3685 0.0000 3.3685
3.3685 3.3685 0.0000
Ga Sc Zn
1 2 1
Cartesian
0.0000 0.0000 0.0000
3.3685 3.3685 3.3685
5.0528 5.0528 5.0528
1.6843 1.6843 1.6843
```

Calculated values
Relative energy among the computed polymorphs   504 meV per atom

***

Entry 11:
VASP calculation (PBE) on an optimized crystal structure of Sc2ZnGa.

The structure in POSCAR format:
```
Sc2ZnGa
1.0
2.3199 -4.0182 0.0000
2.3199 4.0182 0.0000
0.0000 0.0000 9.1429
Ga Sc Zn
2 4 2
Cartesian
2.3199 1.3394 2.2857
2.3199 -1.3394 6.8572
2.3199 -1.3394 0.8156
2.3199 -1.3394 3.7559
2.3199 1.3394 5.3870
2.3199 1.3394 8.3273
0.0000 0.0000 0.0000
0.0000 0.0000 4.5714
```

Calculated values
Relative energy among the computed polymorphs   439 meV per atom

***

Entry 12:
VASP calculation (PBE) on an optimized crystal structure of Sc2ZnGa.

The structure in POSCAR format:
```
Sc2ZnGa
1.0
3.6133 2.1431 1.0823
-3.8640 1.4470 1.3403
0.7857 -5.4286 8.1258
Ga Sc Zn
2 4 2
Cartesian
1.3173 0.5539 3.1998
-0.7822 -2.3925 7.3486
-1.2958 1.1558 2.0375
-1.0544 -0.5121 4.5341
1.5895 -1.3265 6.0144
1.8309 -2.9944 8.5109
0.1964 -1.3572 2.0314
0.5893 -4.0715 6.0943
```

Calculated values
Relative energy among the computed polymorphs   281 meV per atom

***

no.,total energy (eV per formula unit)
1,-17.2
2,-29.7
3,-19.3
4,-26.1
5,-26.4
6,-28.2
7,-35.4
8,-18.9
9,-19.0
10,-17.0
11,-17.3
12,-17.9